## SrNiAsSe2 (PBE-GGA)

Data for a geometry-optimized SrNiAsSe2 structure.

Lattice parameters (Å, degrees): 5.1455 5.1455 4.3762 90.00 90.00 90.00
Atoms (fractional coordinates):
Se1 0.0000 0.5000 0.0000
Se2 0.5000 0.0000 0.0000
Sr1 0.5000 0.5000 0.5000
Ni1 0.0000 0.0000 0.0000
As1 0.0000 0.0000 0.5000

N(E_F): 2.11 states/eV per cell
E_form (uncorrected): -0.60 eV/atom
Space-group type: P4/mmm (123)
Offset from the most stable computed form: 0 meV per atom

## SrNiAs2Se (PBE-GGA)

Data for a geometry-optimized SrNiAs2Se structure.

Lattice parameters (Å, degrees): 5.6402 5.6402 5.5999 90.00 90.00 90.00
Atoms (fractional coordinates):
As1 0.5000 0.0000 0.0000
As2 0.0000 0.5000 0.0000
Se1 0.0000 0.0000 0.5000
Sr1 0.0000 0.0000 0.0000
Ni1 0.5000 0.5000 0.5000

N(E_F): 12.56 states/eV per cell
E_form (uncorrected): 1.27 eV/atom
Space-group type: P4/mmm (123)
Offset from the most stable computed form: 1679 meV per atom

## SrNiAs2Se (PBE-GGA)

Data for a geometry-optimized SrNiAs2Se structure.

Lattice parameters (Å, degrees): 4.6172 4.6172 5.3277 90.00 90.00 90.00
Atoms (fractional coordinates):
Se1 0.0000 0.0000 0.5000
Ni1 0.0000 0.0000 0.0000
As1 0.0000 0.5000 0.0000
As2 0.5000 0.0000 0.0000
Sr1 0.5000 0.5000 0.5000

N(E_F): 5.52 states/eV per cell
E_form (uncorrected): -0.40 eV/atom
Space-group type: P4/mmm (123)
Offset from the most stable computed form: 0 meV per atom

## SrNiAsSe2 (PBE-GGA)

Data for a geometry-optimized SrNiAsSe2 structure.

Lattice parameters (Å, degrees): 5.6908 5.6908 5.6897 90.00 90.00 90.00
Atoms (fractional coordinates):
Se1 0.5000 0.0000 0.0000
Se2 0.0000 0.5000 0.0000
Sr1 0.0000 0.0000 0.0000
Ni1 0.5000 0.5000 0.5000
As1 0.0000 0.0000 0.5000

N(E_F): 14.57 states/eV per cell
E_form (uncorrected): 1.02 eV/atom
Space-group type: P4/mmm (123)
Offset from the most stable computed form: 1618 meV per atom

## TaNiAsSe2 (PBE-GGA)

Data for a geometry-optimized TaNiAsSe2 structure.

Lattice parameters (Å, degrees): 4.9689 4.9689 5.0468 90.00 90.00 90.00
Atoms (fractional coordinates):
Ta1 0.0000 0.0000 0.0000
Se1 0.5000 0.0000 0.0000
Se2 0.0000 0.5000 0.0000
Ni1 0.5000 0.5000 0.5000
As1 0.0000 0.0000 0.5000

N(E_F): 10.74 states/eV per cell
E_form (uncorrected): 0.57 eV/atom
Space-group type: P4/mmm (123)
Offset from the most stable computed form: 0 meV per atom

## TaNiAsSe2 (PBE-GGA)

Data for a geometry-optimized TaNiAsSe2 structure.

Lattice parameters (Å, degrees): 4.6250 4.6250 4.4803 90.00 90.00 90.00
Atoms (fractional coordinates):
Se1 0.5000 0.0000 0.0000
Se2 0.0000 0.5000 0.0000
Ta1 0.5000 0.5000 0.5000
Ni1 0.0000 0.0000 0.0000
As1 0.0000 0.0000 0.5000

N(E_F): 5.55 states/eV per cell
E_form (uncorrected): 0.65 eV/atom
Space-group type: P4/mmm (123)
Offset from the most stable computed form: 84 meV per atom